1.
The following is a DFT calculation (PBE) of crystalline LaDy2Ni at its relaxed geometry.

a b c (Å): 3.8655 3.8655 27.1321
angles (deg): 90.00 90.00 120.00
Positions (direct):
La (0.0000, 0.0000, 0.0000)
La (0.3333, 0.6667, 0.6667)
La (0.6667, 0.3333, 0.3333)
Dy (0.0000, 0.0000, 0.5528)
Dy (0.0000, 0.0000, 0.7739)
Dy (0.3333, 0.6667, 0.2195)
Dy (0.3333, 0.6667, 0.4406)
Dy (0.6667, 0.3333, 0.1072)
Dy (0.6667, 0.3333, 0.8862)
Ni (0.0000, 0.0000, 0.1627)
Ni (0.3333, 0.6667, 0.8293)
Ni (0.6667, 0.3333, 0.4960)

Results
Polymorph energy (0 for the lowest one)   0.42 eV per formula unit
Size of the total moment   0.0 μB/f.u.
DFT formation energy   -2.72 kcal/mol of atoms
SG   R3m (160)
DOS at the Fermi energy   1.341 states/eV per atom


2.
The following is a DFT calculation (PBE) of crystalline LaDy2Ni at its relaxed geometry.

a b c (Å): 4.9069 11.9735 7.3247
angles (deg): 90.00 90.00 90.00
Positions (direct):
La (0.0000, 0.0387, 0.2500)
La (0.0000, 0.9613, 0.7500)
La (0.5000, 0.4613, 0.7500)
La (0.5000, 0.5387, 0.2500)
Dy (0.0000, 0.3444, 0.0279)
Dy (0.0000, 0.3444, 0.4721)
Dy (0.0000, 0.6556, 0.5279)
Dy (0.0000, 0.6556, 0.9721)
Dy (0.5000, 0.1556, 0.5279)
Dy (0.5000, 0.1556, 0.9721)
Dy (0.5000, 0.8444, 0.0279)
Dy (0.5000, 0.8444, 0.4721)
Ni (0.0000, 0.1925, 0.7500)
Ni (0.0000, 0.8075, 0.2500)
Ni (0.5000, 0.3075, 0.2500)
Ni (0.5000, 0.6925, 0.7500)

Results
Polymorph energy (0 for the lowest one)   0.09 eV per formula unit
Size of the total moment   0.0 μB/f.u.
DFT formation energy   -4.59 kcal/mol of atoms
SG   Cmcm (63)
DOS at the Fermi energy   1.105 states/eV per atom


3.
The following is a DFT calculation (PBE) of crystalline La3DyNi at its relaxed geometry.

a b c (Å): 5.5408 5.5408 5.5408
angles (deg): 90.00 90.00 90.00
Positions (direct):
La (0.0000, 0.0000, 0.5000)
La (0.0000, 0.5000, 0.0000)
La (0.5000, 0.0000, 0.0000)
Dy (0.5000, 0.5000, 0.5000)
Ni (0.0000, 0.0000, 0.0000)

Results
Size of the total moment   0.0 μB/f.u.
DFT formation energy   0.57 kcal/mol of atoms
SG   Pm-3m (221)
DOS at the Fermi energy   2.350 states/eV per atom


4.
The following is a DFT calculation (PBE) of crystalline LaDyNiOs at its relaxed geometry.

a b c (Å): 6.9590 6.9590 6.9590
angles (deg): 90.00 90.00 90.00
Positions (direct):
La (0.0000, 0.0000, 0.0000)
La (0.0000, 0.5000, 0.5000)
La (0.5000, 0.0000, 0.5000)
La (0.5000, 0.5000, 0.0000)
Dy (0.0000, 0.0000, 0.5000)
Dy (0.0000, 0.5000, 0.0000)
Dy (0.5000, 0.0000, 0.0000)
Dy (0.5000, 0.5000, 0.5000)
Ni (0.2500, 0.2500, 0.2500)
Ni (0.2500, 0.7500, 0.7500)
Ni (0.7500, 0.2500, 0.7500)
Ni (0.7500, 0.7500, 0.2500)
Os (0.2500, 0.2500, 0.7500)
Os (0.2500, 0.7500, 0.2500)
Os (0.7500, 0.2500, 0.2500)
Os (0.7500, 0.7500, 0.7500)

Results
Size of the total moment   0.0 μB/f.u.
DFT formation energy   -3.69 kcal/mol of atoms
SG   F-43m (216)
DOS at the Fermi energy   0.852 states/eV per atom


5.
The following is a DFT calculation (PBE) of crystalline LaDyNi2P2 at its relaxed geometry.

a b c (Å): 3.9533 3.9533 7.9884
angles (deg): 90.00 90.00 120.00
Positions (direct):
La (0.0000, 0.0000, 0.0000)
Dy (0.0000, 0.0000, 0.5000)
Ni (0.3333, 0.6667, 0.7404)
Ni (0.6667, 0.3333, 0.2596)
P (0.3333, 0.6667, 0.2657)
P (0.6667, 0.3333, 0.7343)

Results
Size of the total moment   0.0 μB/f.u.
DFT formation energy   -27.71 kcal/mol of atoms
SG   P-3m1 (164)
DOS at the Fermi energy   0.448 states/eV per atom


6.
The following is a DFT calculation (PBE) of crystalline LaDyNiPd at its relaxed geometry.

a b c (Å): 7.0895 7.0895 7.0895
angles (deg): 90.00 90.00 90.00
Positions (direct):
La (0.0000, 0.0000, 0.0000)
La (0.0000, 0.5000, 0.5000)
La (0.5000, 0.0000, 0.5000)
La (0.5000, 0.5000, 0.0000)
Dy (0.0000, 0.0000, 0.5000)
Dy (0.0000, 0.5000, 0.0000)
Dy (0.5000, 0.0000, 0.0000)
Dy (0.5000, 0.5000, 0.5000)
Ni (0.2500, 0.2500, 0.2500)
Ni (0.2500, 0.7500, 0.7500)
Ni (0.7500, 0.2500, 0.7500)
Ni (0.7500, 0.7500, 0.2500)
Pd (0.2500, 0.2500, 0.7500)
Pd (0.2500, 0.7500, 0.2500)
Pd (0.7500, 0.2500, 0.2500)
Pd (0.7500, 0.7500, 0.7500)

Results
Polymorph energy (0 for the lowest one)   0.32 eV per formula unit
Size of the total moment   0.0 μB/f.u.
DFT formation energy   -12.12 kcal/mol of atoms
SG   F-43m (216)
DOS at the Fermi energy   1.037 states/eV per atom


7.
The following is a DFT calculation (PBE) of crystalline LaDyNiPd at its relaxed geometry.

a b c (Å): 4.5479 3.8556 10.4395
angles (deg): 90.00 90.00 90.00
Positions (direct):
La (0.0000, 0.0000, 0.0000)
La (0.0000, 0.5000, 0.5000)
Dy (0.5000, 0.0000, 0.2770)
Dy (0.5000, 0.5000, 0.7770)
Ni (0.0000, 0.0000, 0.7263)
Ni (0.0000, 0.5000, 0.2263)
Pd (0.5000, 0.0000, 0.5650)
Pd (0.5000, 0.5000, 0.0650)

Results
Polymorph energy (0 for the lowest one)   0.00 eV per formula unit
Size of the total moment   0.0 μB/f.u.
DFT formation energy   -13.97 kcal/mol of atoms
SG   Amm2 (38)
DOS at the Fermi energy   0.591 states/eV per atom


8.
The following is a DFT calculation (PBE) of crystalline LaDyNiPt at its relaxed geometry.

a b c (Å): 4.4985 3.9087 10.3831
angles (deg): 90.00 90.00 90.00
Positions (direct):
La (0.0000, 0.0000, 0.0000)
La (0.0000, 0.5000, 0.5000)
Dy (0.5000, 0.0000, 0.7212)
Dy (0.5000, 0.5000, 0.2212)
Ni (0.0000, 0.0000, 0.2742)
Ni (0.0000, 0.5000, 0.7742)
Pt (0.5000, 0.0000, 0.4337)
Pt (0.5000, 0.5000, 0.9337)

Results
Polymorph energy (0 for the lowest one)   0.00 eV per formula unit
Size of the total moment   0.0 μB/f.u.
DFT formation energy   -18.57 kcal/mol of atoms
SG   Amm2 (38)
DOS at the Fermi energy   0.662 states/eV per atom


9.
The following is a DFT calculation (PBE) of crystalline LaDyNiPt at its relaxed geometry.

a b c (Å): 7.0748 7.0748 7.0748
angles (deg): 90.00 90.00 90.00
Positions (direct):
La (0.0000, 0.0000, 0.0000)
La (0.0000, 0.5000, 0.5000)
La (0.5000, 0.0000, 0.5000)
La (0.5000, 0.5000, 0.0000)
Dy (0.0000, 0.0000, 0.5000)
Dy (0.0000, 0.5000, 0.0000)
Dy (0.5000, 0.0000, 0.0000)
Dy (0.5000, 0.5000, 0.5000)
Ni (0.2500, 0.2500, 0.7500)
Ni (0.2500, 0.7500, 0.2500)
Ni (0.7500, 0.2500, 0.2500)
Ni (0.7500, 0.7500, 0.7500)
Pt (0.2500, 0.2500, 0.2500)
Pt (0.2500, 0.7500, 0.7500)
Pt (0.7500, 0.2500, 0.7500)
Pt (0.7500, 0.7500, 0.2500)

Results
Polymorph energy (0 for the lowest one)   0.42 eV per formula unit
Size of the total moment   0.0 μB/f.u.
DFT formation energy   -16.17 kcal/mol of atoms
SG   F-43m (216)
DOS at the Fermi energy   1.034 states/eV per atom


10.
The following is a DFT calculation (PBE) of crystalline La2DySi3Ni12 at its relaxed geometry.

a b c (Å): 7.2337 7.2337 7.2337
angles (deg): 64.41 64.41 64.41
Positions (direct):
La (0.0972, 0.0972, 0.0972)
La (0.9028, 0.9028, 0.9028)
Dy (0.5000, 0.5000, 0.5000)
Si (0.0000, 0.5000, 0.5000)
Si (0.5000, 0.0000, 0.5000)
Si (0.5000, 0.5000, 0.0000)
Ni (0.0799, 0.6549, 0.6549)
Ni (0.1479, 0.1479, 0.5900)
Ni (0.1479, 0.5900, 0.1479)
Ni (0.3451, 0.3451, 0.9201)
Ni (0.3451, 0.9201, 0.3451)
Ni (0.4100, 0.8521, 0.8521)
Ni (0.5900, 0.1479, 0.1479)
Ni (0.6549, 0.0799, 0.6549)
Ni (0.6549, 0.6549, 0.0799)
Ni (0.8521, 0.4100, 0.8521)
Ni (0.8521, 0.8521, 0.4100)
Ni (0.9201, 0.3451, 0.3451)

Results
Formation energy without anion corrections   0.009 eV per atom
Size of the total moment   0.0 μB/f.u.
SG   R-3m (166)
DOS at the Fermi energy   0.524 states/eV per atom


11.
The following is a DFT calculation (PBE) of crystalline LaDySi2Ni2 at its relaxed geometry.

a b c (Å): 4.0191 4.0191 8.2876
angles (deg): 90.00 90.00 120.00
Positions (direct):
La (0.0000, 0.0000, 0.0000)
Dy (0.0000, 0.0000, 0.5000)
Si (0.3333, 0.6667, 0.2629)
Si (0.6667, 0.3333, 0.7371)
Ni (0.3333, 0.6667, 0.7328)
Ni (0.6667, 0.3333, 0.2672)

Results
Formation energy without anion corrections   -0.754 eV per atom
Size of the total moment   0.0 μB/f.u.
SG   P-3m1 (164)
DOS at the Fermi energy   0.888 states/eV per atom


12.
The following is a DFT calculation (PBE) of crystalline LaDyZnNi at its relaxed geometry.

a b c (Å): 7.1441 7.1441 7.1441
angles (deg): 90.00 90.00 90.00
Positions (direct):
La (0.0000, 0.0000, 0.0000)
La (0.0000, 0.5000, 0.5000)
La (0.5000, 0.0000, 0.5000)
La (0.5000, 0.5000, 0.0000)
Dy (0.0000, 0.0000, 0.5000)
Dy (0.0000, 0.5000, 0.0000)
Dy (0.5000, 0.0000, 0.0000)
Dy (0.5000, 0.5000, 0.5000)
Zn (0.2500, 0.2500, 0.7500)
Zn (0.2500, 0.7500, 0.2500)
Zn (0.7500, 0.2500, 0.2500)
Zn (0.7500, 0.7500, 0.7500)
Ni (0.2500, 0.2500, 0.2500)
Ni (0.2500, 0.7500, 0.7500)
Ni (0.7500, 0.2500, 0.7500)
Ni (0.7500, 0.7500, 0.2500)

Results
Size of the total moment   0.0 μB/f.u.
DFT formation energy   -6.27 kcal/mol of atoms
SG   F-43m (216)
DOS at the Fermi energy   0.871 states/eV per atom